Computed, not measured: an optimized crystal structure of Li4PuIn at the PBE-GGA level of DFT.

Unit cell a=7.8574 b=7.8574 c=7.8574 alpha=90.00 beta=90.00 gamma=90.00
Closest atoms and distances in Å follow each position.
Space group F-43m (No. 216)
One atom of each set of equivalent atoms:
Li: 0.1236 0.1236 0.1236 x16  6 Li 2.75-2.81
Pu: 0.0000 0.0000 0.5000 x4  12 Li 3.26, 4 In 3.40
In: 0.2500 0.2500 0.7500 x4  12 Li 3.25, 4 Pu 3.40

Output
Size of the total moment   22.079 Bohr magnetons per cell
E_tot   -4.10 eV per atom
Formation energy from the elements   0.13 eV per formula unit